[1]
{
  "formula": "ScRu3S",
  "functional": "PBE",
  "state": "relaxed",
  "final_energy_ev_per_atom": -7.758,
  "e_form_raw_ev_per_atom": -0.101,
  "vol_a3_per_atom": 16.41,
  "cell": [[4.345, 0.000, 0.000], [0.000, 4.345, 0.000], [0.000, 0.000, 4.345]],
  "species": ["Sc", "Ru", "Ru", "Ru", "S"],
  "fractional_positions": [[0.000, 0.000, 0.000], [0.000, 0.500, 0.500], [0.500, 0.000, 0.500], [0.500, 0.500, 0.000], [0.500, 0.500, 0.500]]
}

[2]
{
  "formula": "ScRuS3",
  "functional": "PBE",
  "state": "relaxed",
  "final_energy_ev_per_atom": -5.788,
  "e_form_raw_ev_per_atom": -0.190,
  "vol_a3_per_atom": 19.61,
  "cell": [[4.611, 0.000, 0.000], [0.000, 4.611, 0.000], [0.000, 0.000, 4.611]],
  "species": ["Sc", "Ru", "S", "S", "S"],
  "fractional_positions": [[0.000, 0.000, 0.000], [0.500, 0.500, 0.500], [0.000, 0.500, 0.500], [0.500, 0.000, 0.500], [0.500, 0.500, 0.000]]
}

[3]
{
  "formula": "Sc2RuS",
  "functional": "PBE",
  "state": "relaxed",
  "final_energy_ev_per_atom": -7.545,
  "e_form_raw_ev_per_atom": -1.028,
  "vol_a3_per_atom": 17.12,
  "cell": [[3.221, 0.000, 0.000], [0.000, 3.221, 0.000], [0.000, 0.000, 6.600]],
  "species": ["Sc", "Sc", "Ru", "S"],
  "fractional_positions": [[0.000, 0.000, 0.242], [0.000, 0.000, 0.758], [0.500, 0.500, 0.000], [0.500, 0.500, 0.500]]
}

[4]
{
  "formula": "ScRuS3",
  "functional": "PBE",
  "state": "relaxed",
  "final_energy_ev_per_atom": -5.323,
  "e_form_raw_ev_per_atom": 0.275,
  "vol_a3_per_atom": 22.81,
  "cell": [[4.850, 0.000, 0.000], [0.000, 4.850, 0.000], [0.000, 0.000, 4.850]],
  "species": ["Sc", "Ru", "S", "S", "S"],
  "fractional_positions": [[0.000, 0.000, 0.000], [0.500, 0.500, 0.500], [0.000, 0.000, 0.500], [0.000, 0.500, 0.000], [0.500, 0.000, 0.000]]
}

[5]
{
  "formula": "ScRuS2",
  "functional": "PBE",
  "state": "relaxed",
  "final_energy_ev_per_atom": -6.525,
  "e_form_raw_ev_per_atom": -0.560,
  "vol_a3_per_atom": 20.27,
  "cell": [[1.751, 1.011, 7.634], [-1.751, 1.011, 7.634], [0.000, -2.022, 7.634]],
  "species": ["Sc", "Ru", "S", "S"],
  "fractional_positions": [[0.000, 0.000, 0.000], [0.500, 0.500, 0.500], [0.400, 0.400, 0.400], [0.600, 0.600, 0.600]]
}

[6]
{
  "formula": "ScRu2S",
  "functional": "PBE",
  "state": "relaxed",
  "final_energy_ev_per_atom": -7.497,
  "e_form_raw_ev_per_atom": -0.244,
  "vol_a3_per_atom": 16.69,
  "cell": [[-3.579, 3.579, 2.605], [3.579, -3.579, 2.605], [3.579, 3.579, -2.605]],
  "species": ["Sc", "Sc", "Ru", "Ru", "Ru", "Ru", "S", "S"],
  "fractional_positions": [[0.000, 0.000, 0.000], [0.750, 0.250, 0.500], [0.220, 0.125, 0.595], [0.375, 0.780, 0.905], [0.530, 0.625, 0.405], [0.875, 0.470, 0.095], [0.250, 0.750, 0.500], [0.500, 0.500, 0.000]]
}

[7]
{
  "formula": "RuSeS3",
  "functional": "PBE",
  "state": "relaxed",
  "final_energy_ev_per_atom": -3.771,
  "e_form_raw_ev_per_atom": 1.258,
  "vol_a3_per_atom": 21.05,
  "cell": [[4.722, 0.000, 0.000], [0.000, 4.722, 0.000], [0.000, 0.000, 4.722]],
  "species": ["Ru", "Se", "S", "S", "S"],
  "fractional_positions": [[0.000, 0.000, 0.000], [0.500, 0.500, 0.500], [0.000, 0.500, 0.500], [0.500, 0.000, 0.500], [0.500, 0.500, 0.000]]
}

[8]
{
  "formula": "Ru2SeS3",
  "functional": "PBE",
  "state": "relaxed",
  "final_energy_ev_per_atom": -6.231,
  "e_form_raw_ev_per_atom": -0.494,
  "vol_a3_per_atom": 15.82,
  "cell": [[5.746, 0.000, 0.000], [0.000, 5.747, 0.000], [-0.082, 0.000, 5.749]],
  "species": ["Ru", "Ru", "Ru", "Ru", "Se", "Se", "S", "S", "S", "S", "S", "S"],
  "fractional_positions": [[0.000, 0.000, 0.240], [0.000, 0.500, 0.760], [0.492, 0.009, 0.751], [0.508, 0.509, 0.249], [0.118, 0.388, 0.368], [0.882, 0.888, 0.632], [0.116, 0.122, 0.869], [0.386, 0.620, 0.865], [0.387, 0.892, 0.360], [0.613, 0.392, 0.640], [0.614, 0.120, 0.135], [0.884, 0.622, 0.131]]
}

[9]
{
  "formula": "RuSeS3",
  "functional": "PBE",
  "state": "relaxed",
  "final_energy_ev_per_atom": -4.468,
  "e_form_raw_ev_per_atom": 0.560,
  "vol_a3_per_atom": 19.36,
  "cell": [[4.592, 0.000, 0.000], [0.000, 4.592, 0.000], [0.000, 0.000, 4.592]],
  "species": ["Ru", "Se", "S", "S", "S"],
  "fractional_positions": [[0.000, 0.000, 0.000], [0.500, 0.500, 0.500], [0.000, 0.000, 0.500], [0.000, 0.500, 0.000], [0.500, 0.000, 0.000]]
}

[10]
{
  "formula": "RuSeS2",
  "functional": "PBE",
  "state": "relaxed",
  "final_energy_ev_per_atom": -4.574,
  "e_form_raw_ev_per_atom": 0.680,
  "vol_a3_per_atom": 18.45,
  "cell": [[1.635, 0.944, 7.970], [-1.635, 0.944, 7.970], [0.000, -1.888, 7.970]],
  "species": ["Ru", "Se", "S", "S"],
  "fractional_positions": [[0.000, 0.000, 0.000], [0.500, 0.500, 0.500], [0.092, 0.092, 0.092], [0.908, 0.908, 0.908]]
}

[11]
{
  "formula": "RuSeS2",
  "functional": "PBE",
  "state": "relaxed",
  "final_energy_ev_per_atom": -5.290,
  "e_form_raw_ev_per_atom": -0.036,
  "vol_a3_per_atom": 19.86,
  "cell": [[1.771, 1.023, 7.311], [-1.771, 1.023, 7.311], [0.000, -2.045, 7.311]],
  "species": ["Ru", "Se", "S", "S"],
  "fractional_positions": [[0.000, 0.000, 0.000], [0.500, 0.500, 0.500], [0.388, 0.388, 0.388], [0.612, 0.612, 0.612]]
}

[12]
{
  "formula": "RuSeS",
  "functional": "PBE",
  "state": "relaxed",
  "final_energy_ev_per_atom": -6.075,
  "e_form_raw_ev_per_atom": -0.446,
  "vol_a3_per_atom": 17.18,
  "cell": [[3.700, 0.000, 0.000], [0.000, 4.762, 0.000], [0.000, 0.000, 5.850]],
  "species": ["Ru", "Ru", "Se", "Se", "S", "S"],
  "fractional_positions": [[0.000, 0.235, 0.000], [0.500, 0.765, 0.500], [0.000, 0.456, 0.380], [0.500, 0.544, 0.880], [0.000, 0.044, 0.627], [0.500, 0.956, 0.127]]
}

[13]
{
  "formula": "RuSeS",
  "functional": "PBE",
  "state": "relaxed",
  "final_energy_ev_per_atom": -6.056,
  "e_form_raw_ev_per_atom": -0.426,
  "vol_a3_per_atom": 17.23,
  "cell": [[0.000, 5.858, 3.699], [4.771, 0.000, 3.699], [4.771, 5.858, 0.000]],
  "species": ["Ru", "Ru", "Ru", "Ru", "Se", "Se", "Se", "Se", "S", "S", "S", "S"],
  "fractional_positions": [[0.252, 0.748, 0.261], [0.511, 0.989, 0.502], [0.748, 0.252, 0.739], [0.989, 0.511, 0.998], [0.169, 0.832, 0.963], [0.213, 0.287, 0.418], [0.287, 0.213, 0.081], [0.832, 0.169, 0.037], [0.337, 0.664, 0.545], [0.664, 0.337, 0.454], [0.705, 0.796, 0.913], [0.796, 0.705, 0.586]]
}

[14]
{
  "formula": "RuSeS",
  "functional": "PBE",
  "state": "relaxed",
  "final_energy_ev_per_atom": -6.099,
  "e_form_raw_ev_per_atom": -0.470,
  "vol_a3_per_atom": 16.54,
  "cell": [[5.833, 0.000, 0.000], [0.000, 5.833, 0.000], [0.000, 0.000, 5.833]],
  "species": ["Ru", "Ru", "Ru", "Ru", "Se", "Se", "Se", "Se", "S", "S", "S", "S"],
  "fractional_positions": [[0.009, 0.009, 0.009], [0.491, 0.991, 0.509], [0.509, 0.491, 0.991], [0.991, 0.509, 0.491], [0.119, 0.619, 0.881], [0.381, 0.381, 0.381], [0.619, 0.881, 0.119], [0.881, 0.119, 0.619], [0.116, 0.884, 0.384], [0.384, 0.116, 0.884], [0.616, 0.616, 0.616], [0.884, 0.384, 0.116]]
}

[15]
{
  "formula": "RuSeS2",
  "functional": "PBE",
  "state": "relaxed",
  "final_energy_ev_per_atom": -5.047,
  "e_form_raw_ev_per_atom": 0.207,
  "vol_a3_per_atom": 20.53,
  "cell": [[-3.140, 3.140, 4.165], [3.140, -3.140, 4.165], [3.140, 3.140, -4.165]],
  "species": ["Ru", "Ru", "Se", "Se", "S", "S", "S", "S"],
  "fractional_positions": [[0.000, 0.000, 0.000], [0.750, 0.250, 0.500], [0.250, 0.750, 0.500], [0.500, 0.500, 0.000], [0.067, 0.625, 0.942], [0.375, 0.317, 0.442], [0.683, 0.125, 0.058], [0.875, 0.933, 0.558]]
}

[16]
{
  "formula": "Si2RuSeS",
  "functional": "PBE",
  "state": "relaxed",
  "final_energy_ev_per_atom": -5.074,
  "e_form_raw_ev_per_atom": 0.473,
  "vol_a3_per_atom": 20.52,
  "cell": [[4.607, 0.000, 0.000], [0.000, 4.607, 0.000], [0.000, 0.000, 4.834]],
  "species": ["Si", "Si", "Ru", "Se", "S"],
  "fractional_positions": [[0.000, 0.500, 0.000], [0.500, 0.000, 0.000], [0.000, 0.000, 0.000], [0.000, 0.000, 0.500], [0.500, 0.500, 0.500]]
}

[17]
{
  "formula": "Tc2RuSeS",
  "functional": "PBE",
  "state": "relaxed",
  "final_energy_ev_per_atom": -5.986,
  "e_form_raw_ev_per_atom": 1.538,
  "vol_a3_per_atom": 21.72,
  "cell": [[4.893, 0.000, 0.000], [0.000, 4.893, 0.000], [0.000, 0.000, 4.537]],
  "species": ["Tc", "Tc", "Ru", "Se", "S"],
  "fractional_positions": [[0.000, 0.500, 0.000], [0.500, 0.000, 0.000], [0.000, 0.000, 0.000], [0.000, 0.000, 0.500], [0.500, 0.500, 0.500]]
}

[18]
{
  "formula": "Th6Ru2SeS3",
  "functional": "PBE",
  "state": "relaxed",
  "final_energy_ev_per_atom": -7.890,
  "e_form_raw_ev_per_atom": -1.311,
  "vol_a3_per_atom": 25.22,
  "cell": [[3.585, -6.180, 0.000], [3.585, 6.180, 0.000], [-2.407, 0.000, 6.830]],
  "species": ["Th", "Th", "Th", "Th", "Th", "Th", "Ru", "Ru", "Se", "S", "S", "S"],
  "fractional_positions": [[0.064, 0.418, 0.757], [0.226, 0.226, 0.238], [0.418, 0.064, 0.757], [0.582, 0.936, 0.243], [0.774, 0.774, 0.762], [0.936, 0.582, 0.243], [0.168, 0.832, 0.000], [0.832, 0.168, 0.000], [0.500, 0.500, 0.000], [0.000, 0.000, 0.500], [0.344, 0.656, 0.500], [0.656, 0.344, 0.500]]
}

[19]
{
  "formula": "Th4RuSeS2",
  "functional": "PBE",
  "state": "relaxed",
  "final_energy_ev_per_atom": -7.742,
  "e_form_raw_ev_per_atom": -1.405,
  "vol_a3_per_atom": 25.07,
  "cell": [[7.166, 0.000, 0.000], [0.000, 4.044, 0.000], [-2.393, 0.000, 6.922]],
  "species": ["Th", "Th", "Th", "Th", "Ru", "Se", "S", "S"],
  "fractional_positions": [[0.238, 0.000, 0.231], [0.259, 0.500, 0.763], [0.741, 0.500, 0.237], [0.762, 0.000, 0.769], [0.000, 0.500, 0.000], [0.000, 0.000, 0.500], [0.500, 0.000, 0.000], [0.500, 0.500, 0.500]]
}

[20]
{
  "formula": "Th6RuSe2S3",
  "functional": "PBE",
  "state": "relaxed",
  "final_energy_ev_per_atom": -7.593,
  "e_form_raw_ev_per_atom": -1.497,
  "vol_a3_per_atom": 24.98,
  "cell": [[9.006, -2.018, 0.000], [9.006, 2.018, 0.000], [-1.820, 0.000, 8.247]],
  "species": ["Th", "Th", "Th", "Th", "Th", "Th", "Ru", "Se", "Se", "S", "S", "S"],
  "fractional_positions": [[0.003, 0.003, 0.266], [0.335, 0.335, 0.432], [0.338, 0.338, 0.907], [0.662, 0.662, 0.093], [0.665, 0.665, 0.568], [0.997, 0.997, 0.734], [0.500, 0.500, 0.500], [0.168, 0.168, 0.834], [0.832, 0.832, 0.166], [0.168, 0.168, 0.331], [0.500, 0.500, 0.000], [0.832, 0.832, 0.669]]
}

[21]
{
  "formula": "Th3RuSeS",
  "functional": "PBE",
  "state": "relaxed",
  "final_energy_ev_per_atom": -7.806,
  "e_form_raw_ev_per_atom": -1.281,
  "vol_a3_per_atom": 25.61,
  "cell": [[7.516, 0.000, 0.000], [0.000, 4.033, 0.000], [-0.363, 0.000, 10.137]],
  "species": ["Th", "Th", "Th", "Th", "Th", "Th", "Ru", "Ru", "Se", "Se", "S", "S"],
  "fractional_positions": [[0.069, 0.250, 0.169], [0.216, 0.750, 0.514], [0.405, 0.250, 0.844], [0.595, 0.750, 0.156], [0.784, 0.250, 0.486], [0.931, 0.750, 0.831], [0.085, 0.250, 0.675], [0.915, 0.750, 0.325], [0.419, 0.250, 0.334], [0.581, 0.750, 0.666], [0.249, 0.750, 0.010], [0.751, 0.250, 0.990]]
}

[22]
{
  "formula": "Th8Ru3Se4S",
  "functional": "PBE",
  "state": "relaxed",
  "final_energy_ev_per_atom": -7.781,
  "e_form_raw_ev_per_atom": -1.202,
  "vol_a3_per_atom": 26.32,
  "cell": [[4.115, 2.376, 7.181], [-4.115, 2.376, 7.181], [0.000, -4.751, 7.181]],
  "species": ["Th", "Th", "Th", "Th", "Th", "Th", "Th", "Th", "Ru", "Ru", "Ru", "Se", "Se", "Se", "Se", "S"],
  "fractional_positions": [[0.234, 0.746, 0.746], [0.238, 0.238, 0.238], [0.254, 0.254, 0.766], [0.254, 0.766, 0.254], [0.746, 0.234, 0.746], [0.746, 0.746, 0.234], [0.762, 0.762, 0.762], [0.766, 0.254, 0.254], [0.000, 0.000, 0.500], [0.000, 0.500, 0.000], [0.500, 0.000, 0.000], [0.000, 0.000, 0.000], [0.000, 0.500, 0.500], [0.500, 0.000, 0.500], [0.500, 0.500, 0.000], [0.500, 0.500, 0.500]]
}

[23]
{
  "formula": "Ti2RuSeS",
  "functional": "PBE",
  "state": "relaxed",
  "final_energy_ev_per_atom": -6.468,
  "e_form_raw_ev_per_atom": 0.067,
  "vol_a3_per_atom": 20.48,
  "cell": [[4.914, 0.000, 0.000], [0.000, 4.914, 0.000], [0.000, 0.000, 4.241]],
  "species": ["Ti", "Ti", "Ru", "Se", "S"],
  "fractional_positions": [[0.000, 0.500, 0.000], [0.500, 0.000, 0.000], [0.000, 0.000, 0.000], [0.500, 0.500, 0.500], [0.000, 0.000, 0.500]]
}

[24]
{
  "formula": "SiRu3S",
  "functional": "PBE",
  "state": "relaxed",
  "final_energy_ev_per_atom": -6.830,
  "e_form_raw_ev_per_atom": 0.646,
  "vol_a3_per_atom": 16.10,
  "cell": [[4.318, 0.000, 0.000], [0.000, 4.318, 0.000], [0.000, 0.000, 4.318]],
  "species": ["Si", "Ru", "Ru", "Ru", "S"],
  "fractional_positions": [[0.000, 0.000, 0.000], [0.000, 0.500, 0.500], [0.500, 0.000, 0.500], [0.500, 0.500, 0.000], [0.500, 0.500, 0.500]]
}

[25]
{
  "formula": "SiRuS2",
  "functional": "PBE",
  "state": "relaxed",
  "final_energy_ev_per_atom": -5.623,
  "e_form_raw_ev_per_atom": 0.116,
  "vol_a3_per_atom": 18.84,
  "cell": [[1.742, 1.006, 7.171], [-1.742, 1.006, 7.171], [0.000, -2.011, 7.171]],
  "species": ["Si", "Ru", "S", "S"],
  "fractional_positions": [[0.000, 0.000, 0.000], [0.500, 0.500, 0.500], [0.109, 0.109, 0.109], [0.891, 0.891, 0.891]]
}